Here is AlOs2Au after structural relaxation from Alexandria. Energies are from PBE.

Calculated values
Calculated formation energy   0.6 eV per formula unit
Density of states at the Fermi level   2.72 states/eV/f.u.
Space group   Immm, No. 71

Cell and atoms, written as CIF:
```
data_AlOs2Au
_cell_length_a 5.5626
_cell_length_b 5.5626
_cell_length_c 5.5626
_cell_angle_alpha 150.19
_cell_angle_beta 133.93
_cell_angle_gamma 55.84
_space_group_name_H-M_alt 'P 1'
_space_group_IT_number 1
loop_
_space_group_symop_operation_xyz
'x,y,z'
loop_
_atom_site_label
_atom_site_type_symbol
_atom_site_fract_x
_atom_site_fract_y
_atom_site_fract_z
Os1 Os 0.9630 0.9630 0.0000
Os2 Os 0.5370 0.5370 0.0000
Au1 Au 0.2500 0.7500 0.5000
Al1 Al 0.7500 0.2500 0.5000
```